No. 1
The following is a DFT calculation (PBE-GGA) of an optimized crystal structure of Al3Re5.

abc: 7.357 7.357 4.993
angles: 90.00 90.00 120.00
Element x y z (fractional)
Re1 0.667 0.333 0.500
Re2 0.333 0.667 0.500
Re3 0.000 0.774 0.750
Re4 0.333 0.667 0.000
Re5 0.774 0.774 0.250
Re6 0.226 0.000 0.250
Re7 0.667 0.333 0.000
Re8 0.000 0.226 0.250
Re9 0.774 0.000 0.750
Re10 0.226 0.226 0.750
Al1 0.601 0.000 0.250
Al2 0.000 0.601 0.250
Al3 0.601 0.601 0.750
Al4 0.000 0.399 0.750
Al5 0.399 0.399 0.250
Al6 0.399 0.000 0.750

Total moment, μB per formula unit: 0.0
Energy above the lowest structure with this stoichiometry, eV per formula unit: 1.182
Space group: P6_3/mcm
V, Å³ per atom: 14.6
Formation energy from the elements, eV/atom: 0.08

No. 2
The following is a DFT calculation (PBE-GGA) of an optimized crystal structure of CsNaIn.

abc: 4.340 4.340 7.749
angles: 106.26 106.26 90.00
Each line ends with the local moment (μB).
Element x y z (fractional)
Cs1 0.988 0.988 0.976  0.02
Na1 0.711 0.711 0.422  0.00
In1 0.301 0.301 0.602  0.06

Total moment, μB per formula unit: 0.3
Energy above the lowest structure with this stoichiometry, eV per formula unit: 0.234
Space group: I4mm
V, Å³ per atom: 44.7
Formation energy from the elements, eV/atom: 0.04

No. 3
The following is a DFT calculation (PBE-GGA) of an optimized crystal structure of AlIn2W.

abc: 3.587 3.586 5.963
angles: 90.00 90.00 90.00
Element x y z (fractional)
W1 0.000 0.000 0.521
Al1 0.500 0.500 0.719
In1 0.000 0.000 0.994
In2 0.500 0.500 0.265

Total moment, μB per formula unit: 0.0
Space group: P4mm
V, Å³ per atom: 19.2
Formation energy from the elements, eV/atom: 0.37